Entry a
AuC2N3: relaxed, PBE-GGA.

* density of states at the Fermi level: 0.00 states/eV per cell

a b c (Å): 8.955 8.955 6.761
angles (deg): 86.06 86.06 87.65
Element x y z (fractional)
N 0.776 0.053 0.011
N 0.091 0.580 0.779
N 0.580 0.091 0.279
N 0.455 0.714 0.481
N 0.545 0.286 0.519
N 0.909 0.420 0.221
N 0.286 0.545 0.019
N 0.947 0.224 0.489
N 0.714 0.455 0.981
N 0.224 0.947 0.989
N 0.053 0.776 0.511
N 0.420 0.909 0.721
Au 0.871 0.129 0.750
Au 0.129 0.871 0.250
Au 0.380 0.620 0.250
Au 0.620 0.380 0.750
C 0.432 0.806 0.597
C 0.568 0.194 0.403
C 0.684 0.077 0.139
C 0.923 0.316 0.361
C 0.806 0.432 0.097
C 0.316 0.923 0.861
C 0.194 0.568 0.903
C 0.077 0.684 0.639



Entry b
AuC2N3: relaxed, PBE-GGA.

* density of states at the Fermi level: 0.00 states/eV per cell

a b c (Å): 3.864 3.864 25.067
angles (deg): 90.00 90.00 120.00
Element x y z (fractional)
N 0.852 0.087 0.742
N 0.586 0.000 0.833
N 0.087 0.852 0.258
N 0.414 0.414 0.500
N 0.913 0.766 0.076
N 0.000 0.586 0.167
N 0.148 0.234 0.591
N 0.766 0.913 0.924
N 0.234 0.148 0.409
C 0.746 0.044 0.787
C 0.254 0.298 0.546
C 0.298 0.254 0.454
C 0.044 0.746 0.213
C 0.956 0.702 0.120
C 0.702 0.956 0.880
Au 0.843 0.843 0.000
Au 0.157 0.000 0.333
Au 0.000 0.157 0.667



Which structure is the most stable? The one labeled entry b.